{"formula": "VInF2", "functional": "PBE with a Hubbard U", "state": "relaxed", "sg": "Fm-3m, No. 225", "n_ef_per_ev_atom": 1.8172, "dft_energy_ev_per_atom": -4.321, "vol_a3_per_atom": 15.98, "lattice_angstrom": [[0.000, 3.174, 3.174], [3.174, 0.000, 3.174], [3.174, 3.174, 0.000]], "species": ["V", "In", "F", "F"], "fractional_positions": [[0.000, 0.000, 0.000], [0.500, 0.500, 0.500], [0.250, 0.250, 0.250], [0.750, 0.750, 0.750]]}